# K3Ce3CoO8 | Alexandria via LeMat-Bulk | PBE+U | relaxed
data_K3Ce3CoO8
_chemical_formula_sum 'K3 Ce3 Co1 O8'
_cell_length_a 6.9950
_cell_length_b 6.9986
_cell_length_c 7.4530
_cell_angle_alpha 118.03
_cell_angle_beta 90.00
_cell_angle_gamma 119.98
_symmetry_space_group_name_H-M 'P 1'
_symmetry_Int_Tables_number 1
loop_
_symmetry_equiv_pos_as_xyz
'x,y,z'
loop_
_atom_site_label
_atom_site_type_symbol
_atom_site_fract_x
_atom_site_fract_y
_atom_site_fract_z
K1 K 0.0000 0.0000 0.0000
K2 K 0.0000 0.5000 0.0000
K3 K 0.5000 0.5000 0.0000
Ce1 Ce 0.5000 0.0000 0.5000
Ce2 Ce 0.5000 0.5000 0.5000
Ce3 Ce 0.0000 0.5000 0.5000
Co1 Co 0.0000 0.0000 0.5000
O1 O 0.2696 0.5392 0.3089
O2 O 0.7304 0.4608 0.6911
O3 O 0.7774 0.5549 0.3273
O4 O 0.2226 0.4451 0.6727
O5 O 0.7779 0.0495 0.3276
O6 O 0.2221 0.9505 0.6724
O7 O 0.2716 0.0495 0.3276
O8 O 0.7284 0.9505 0.6724
# - Spin magnetization: 4.10 μB/cell
# - Theoretical density: 4.532 g/cm³
# - Symmetry: R-3m
# - DOS(E_F): 0.467 states/eV per atom
# - Total energy: -102.59 eV for the cell shown